(1)
The following is a GGA-PBE calculation of CdInTcGe2 after structural relaxation, from the Alexandria database.

Unit cell a=4.824 b=4.824 c=5.336 alpha=90.00 beta=90.00 gamma=90.00
Space group P4/mmm (No. 123)
Asymmetric unit:
Cd: 0.000 0.000 0.000 (multiplicity 1)
In: 0.500 0.500 0.000 (multiplicity 1)
Tc: 0.500 0.500 0.500 (multiplicity 1)
Ge: 0.000 0.500 0.500 (multiplicity 2)

Output
uncorrected energy	-22.4	eV per cell
DOS at the Fermi energy	0.35	states/eV per cell

=====

(2)
The following is a GGA-PBE calculation of TiCd2InGe after structural relaxation, from the Alexandria database.

Unit cell a=5.175 b=5.175 c=5.304 alpha=90.00 beta=90.00 gamma=90.00
Space group P4/mmm (No. 123)
Asymmetric unit:
Ti: 0.000 0.000 0.000 (multiplicity 1)
Cd: 0.000 0.500 0.500 (multiplicity 2)
In: 0.000 0.000 0.500 (multiplicity 1)
Ge: 0.500 0.500 0.000 (multiplicity 1)

Output
uncorrected energy	-12.5	eV per cell
DOS at the Fermi energy	5.61	states/eV per cell

=====

Number 1: energy of formation 163 meV/atom. Number 2: energy of formation 907 meV/atom.